Entry from Alexandria via LeMat-Bulk: a relaxed TbSmCr2O8 crystal (PBE with a Hubbard U).

Output
Electronic total energy (eV per atom): -7.652

a = 6.059 Å, b = 6.059 Å, c = 6.059 Å
α = 105.93°, β = 105.93°, γ = 116.82°
Last column: magnetic moment on the atom in μB.
Positions (direct):
O  0.493  0.674  0.819  -0.03
O  0.764  0.079  0.684  -0.03
O  0.326  0.145  0.819  -0.03
O  0.326  0.507  0.181  -0.03
O  0.395  0.079  0.316  -0.03
O  0.921  0.605  0.684  -0.03
O  0.921  0.236  0.316  -0.03
O  0.855  0.674  0.181  -0.03
Cr  0.750  0.250  0.500  1.09
Cr  0.500  0.500  0.000  1.10
Tb  0.000  0.000  0.000  0.03
Sm  0.250  0.750  0.500  0.02